Material: MnBe2Cl
Method: DFT, GGA-PBE
State: relaxed

Summary:
* E_form (uncorrected): 0.33 eV/atom
* relative energy among the computed polymorphs: 1.034 eV per formula unit
* ρ: 3.39 g cm⁻³
* raw total energy: -4.29 eV/atom
* spin magnetization: 4.064 Bohr magnetons per cell

Structure (POSCAR):
```
MnBe2Cl
1.0
7.1734 -0.0358 -0.0212
6.5735 2.8722 -0.0212
6.5735 1.3563 2.5318
Cl Mn Be
1 1 2
Cartesian
10.3490 2.1353 1.2678
15.0977 3.1151 1.8495
20.1918 4.1661 2.4736
5.1624 1.0651 0.6324
```